No. 1
First-principles (PBE) data for a relaxed structure of CaReW, as listed in Alexandria.

Unit cell a=4.472 b=4.472 c=4.472 alpha=60.00 beta=60.00 gamma=60.00
Positions (direct):
1 Re 0.250 0.250 0.250
2 Ca 0.500 0.500 0.500
3 W 0.000 0.000 0.000

Values from the calculation:
SG ... F-43m
Polymorph energy (0 for the lowest one) ... 0.567 eV per atom
DOS(E_F) ... 1.03 states/eV/atom
Spin magnetization ... 0.000 μB per formula unit

No. 2
First-principles (PBE) data for a relaxed structure of CaRe2W, as listed in Alexandria.

Unit cell a=7.504 b=7.504 c=6.007 alpha=51.35 beta=51.35 gamma=90.00
Positions (direct):
1 Re 0.375 0.326 0.750
2 Re 0.875 0.924 0.750
3 Re 0.076 0.625 0.250
4 Re 0.674 0.125 0.250
5 Ca 0.250 0.750 0.500
6 Ca 0.500 0.500 0.000
7 W 0.000 0.000 0.000
8 W 0.750 0.250 0.500

Values from the calculation:
SG ... I-42d
Polymorph energy (0 for the lowest one) ... 0.640 eV per atom
DOS(E_F) ... 0.83 states/eV/atom
Spin magnetization ... 0.000 μB per formula unit

No. 3
First-principles (PBE) data for a relaxed structure of CaRe2W, as listed in Alexandria.

Unit cell a=5.271 b=5.271 c=2.624 alpha=90.00 beta=90.00 gamma=106.97
Positions (direct):
1 Ca 0.000 0.500 0.500
2 Re 0.000 0.000 0.000
3 Re 0.500 0.500 0.000
4 W 0.500 0.000 0.500

Values from the calculation:
SG ... Cmmm
Polymorph energy (0 for the lowest one) ... 0.331 eV per atom
DOS(E_F) ... 0.85 states/eV/atom
Spin magnetization ... 0.001 μB per formula unit

No. 4
First-principles (PBE) data for a relaxed structure of CaRe2W, as listed in Alexandria.

Unit cell a=2.914 b=2.914 c=8.645 alpha=90.00 beta=90.00 gamma=90.00
Positions (direct):
1 Re 0.500 0.500 0.234
2 Re 0.000 0.000 0.047
3 W 0.000 0.000 0.455
4 Ca 0.500 0.500 0.765

Values from the calculation:
SG ... P4mm
Polymorph energy (0 for the lowest one) ... 0.100 eV per atom
DOS(E_F) ... 1.01 states/eV/atom
Spin magnetization ... 0.000 μB per formula unit

No. 5
First-principles (PBE) data for a relaxed structure of CaReW4, as listed in Alexandria.

Unit cell a=5.344 b=5.344 c=5.344 alpha=60.00 beta=60.00 gamma=60.00
Positions (direct):
1 W 0.375 0.375 0.875
2 W 0.375 0.375 0.375
3 W 0.375 0.875 0.375
4 W 0.875 0.375 0.375
5 Ca 0.750 0.750 0.750
6 Re 0.000 0.000 0.000

Values from the calculation:
SG ... F-43m
DOS(E_F) ... 0.63 states/eV/atom
Spin magnetization ... 0.000 μB per formula unit

No. 6
First-principles (PBE) data for a relaxed structure of Ca4ReW, as listed in Alexandria.

Unit cell a=6.007 b=6.007 c=6.007 alpha=60.00 beta=60.00 gamma=60.00
Site moments in Bohr magnetons follow the coordinates.
Positions (direct):
1 W 0.000 0.000 0.000  2.10
2 Ca 0.376 0.376 0.873  0.05
3 Ca 0.376 0.376 0.376  0.05
4 Ca 0.873 0.376 0.376  0.05
5 Ca 0.376 0.873 0.376  0.05
6 Re 0.750 0.750 0.750  -1.69

Values from the calculation:
SG ... F-43m
DOS(E_F) ... 1.30 states/eV/atom
Spin magnetization ... 1.242 μB per formula unit

No. 7
First-principles (PBE) data for a relaxed structure of Ca3YRe, as listed in Alexandria.

Unit cell a=5.422 b=5.422 c=5.422 alpha=90.00 beta=90.00 gamma=90.00
Positions (direct):
1 Ca 0.500 0.000 0.000
2 Ca 0.000 0.500 0.000
3 Ca 0.000 0.000 0.500
4 Y 0.000 0.000 0.000
5 Re 0.500 0.500 0.500

Values from the calculation:
SG ... Pm-3m
Polymorph energy (0 for the lowest one) ... 1.358 eV per atom
DOS(E_F) ... 3.42 states/eV/atom
Spin magnetization ... 0.001 μB per formula unit

No. 8
First-principles (PBE) data for a relaxed structure of CaYRe, as listed in Alexandria.

Unit cell a=4.865 b=4.865 c=4.865 alpha=60.00 beta=60.00 gamma=60.00
Positions (direct):
1 Y 0.000 0.000 0.000
2 Re 0.750 0.750 0.750
3 Ca 0.500 0.500 0.500

Values from the calculation:
SG ... F-43m
Polymorph energy (0 for the lowest one) ... 0.337 eV per atom
DOS(E_F) ... 1.48 states/eV/atom
Spin magnetization ... 0.000 μB per formula unit

| no. | energy of formation (kJ per mole of atoms) |
| --- | --- |
| 1 | 102.2 |
| 2 | 106.9 |
| 3 | 77.0 |
| 4 | 54.8 |
| 5 | 52.0 |
| 6 | 162.5 |
| 7 | 207.1 |
| 8 | 78.6 |